No. 1
# MnPt2Au (GGA-PBEsol, optimized geometry)
data_MnPt2Au
_cell_length_a 3.922
_cell_length_b 3.922
_cell_length_c 7.808
_cell_angle_alpha 90.00
_cell_angle_beta 90.00
_cell_angle_gamma 90.00
_space_group_name_H-M_alt 'I 4/m m m'
_space_group_IT_number 139
_space_group_name_Hall '-I 4 2'
loop_
_atom_site_label
_atom_site_type_symbol
_atom_site_fract_x
_atom_site_fract_y
_atom_site_fract_z
Mn1 Mn 0.000 0.000 0.000
Pt1 Pt 0.000 0.500 0.250
Au1 Au 0.000 0.000 0.500
# Energy of formation from the pure elements (eV per atom): -0.159
# Fermi-level density of states (states/eV/f.u.): 2.79
# M_tot (μB per atom): 1.01

---

No. 2
# AgTeAu (GGA-PBEsol, optimized geometry)
data_AgTeAu
_cell_length_a 4.9073
_cell_length_b 4.9073
_cell_length_c 2.9576
_cell_angle_alpha 90.00
_cell_angle_beta 90.00
_cell_angle_gamma 120.00
_space_group_name_H-M_alt 'P -6 m 2'
_space_group_IT_number 187
_space_group_name_Hall 'P -6 2'
loop_
_atom_site_label
_atom_site_type_symbol
_atom_site_fract_x
_atom_site_fract_y
_atom_site_fract_z
Ag1 Ag 0.0000 0.0000 0.0000
Te1 Te 0.3333 0.6667 0.5000
Au1 Au 0.6667 0.3333 0.5000
# Formation energy (no corrections) (eV/atom): 0.19
# Fermi-level density of states (states/eV/f.u.): 0.89
# M_tot (μB per atom): 0.00

---

No. 3
# Ga3AgS (GGA-PBEsol, optimized geometry)
data_Ga3AgS
_cell_length_a 4.743
_cell_length_b 4.743
_cell_length_c 4.743
_cell_angle_alpha 90.00
_cell_angle_beta 90.00
_cell_angle_gamma 90.00
_space_group_name_H-M_alt 'P m -3 m'
_space_group_IT_number 221
_space_group_name_Hall '-P 4 2 3'
loop_
_atom_site_label
_atom_site_type_symbol
_atom_site_fract_x
_atom_site_fract_y
_atom_site_fract_z
Ga1 Ga 0.000 0.000 0.500
Ag1 Ag 0.500 0.500 0.500
S1 S 0.000 0.000 0.000
# Formation energy (no corrections) (eV/atom): 0.44
# Fermi-level density of states (states/eV/f.u.): 2.99
# M_tot (μB per atom): 0.00

---

No. 4
# CsCeP4O12 (GGA-PBEsol, optimized geometry)
data_CsCeP4O12
_cell_length_a 7.194
_cell_length_b 9.256
_cell_length_c 8.835
_cell_angle_alpha 90.00
_cell_angle_beta 99.39
_cell_angle_gamma 90.00
_space_group_name_H-M_alt 'P 1 21 1'
_space_group_IT_number 4
loop_
_space_group_symop_operation_xyz
'x,y,z'
'-x,y+1/2,-z'
loop_
_atom_site_label
_atom_site_type_symbol
_atom_site_fract_x
_atom_site_fract_y
_atom_site_fract_z
Cs1 Cs 0.172 0.000 0.177
Ce1 Ce 0.298 0.166 0.698
P1 P 0.145 0.539 0.543
P2 P 0.193 0.594 0.226
P3 P 0.416 0.392 0.070
P4 P 0.440 0.775 0.626
O1 O 0.009 0.139 0.817
O2 O 0.042 0.112 0.492
O3 O 0.159 0.402 0.633
O4 O 0.225 0.467 0.110
O5 O 0.226 0.508 0.387
O6 O 0.289 0.650 0.640
O7 O 0.346 0.706 0.232
O8 O 0.348 0.918 0.594
O9 O 0.359 0.319 0.920
O10 O 0.423 0.220 0.471
O11 O 0.423 0.998 0.909
O12 O 0.452 0.267 0.198
# Formation energy (no corrections) (eV/atom): -2.44
# Fermi-level density of states (states/eV/f.u.): 8.27
# M_tot (μB per atom): 0.06

---

No. 5
# SmCdPd2 (GGA-PBEsol, optimized geometry)
data_SmCdPd2
_cell_length_a 6.739
_cell_length_b 6.739
_cell_length_c 6.739
_cell_angle_alpha 90.00
_cell_angle_beta 90.00
_cell_angle_gamma 90.00
_space_group_name_H-M_alt 'F m -3 m'
_space_group_IT_number 225
_space_group_name_Hall '-F 4 2 3'
loop_
_atom_site_label
_atom_site_type_symbol
_atom_site_fract_x
_atom_site_fract_y
_atom_site_fract_z
Sm1 Sm 0.000 0.000 0.000
Cd1 Cd 0.000 0.000 0.500
Pd1 Pd 0.250 0.250 0.250
# Energy of formation from the pure elements (eV per atom): -0.654
# Fermi-level density of states (states/eV/f.u.): 2.18
# M_tot (μB per atom): 0.00

---

No. 6
# MgSiSe2 (GGA-PBEsol, optimized geometry)
data_MgSiSe2
_cell_length_a 5.634
_cell_length_b 5.634
_cell_length_c 13.355
_cell_angle_alpha 90.00
_cell_angle_beta 90.00
_cell_angle_gamma 90.00
_space_group_name_H-M_alt 'I -4 2 d'
_space_group_IT_number 122
_space_group_name_Hall 'I -4 2bw'
loop_
_atom_site_label
_atom_site_type_symbol
_atom_site_fract_x
_atom_site_fract_y
_atom_site_fract_z
Mg1 Mg 0.000 0.000 0.000
Si1 Si 0.000 0.000 0.500
Se1 Se 0.244 0.250 0.625
# Formation energy (no corrections) (eV/atom): -0.35
# Fermi-level density of states (states/eV/f.u.): 0.93
# M_tot (μB per atom): 0.00

---

No. 7
# GeH2CS (GGA-PBEsol, optimized geometry)
data_GeH2CS
_cell_length_a 3.261
_cell_length_b 3.261
_cell_length_c 4.418
_cell_angle_alpha 90.00
_cell_angle_beta 90.00
_cell_angle_gamma 90.00
_space_group_name_H-M_alt 'P 4/m m m'
_space_group_IT_number 123
_space_group_name_Hall '-P 4 2'
loop_
_atom_site_label
_atom_site_type_symbol
_atom_site_fract_x
_atom_site_fract_y
_atom_site_fract_z
Ge1 Ge 0.000 0.000 0.000
H1 H 0.000 0.500 0.000
C1 C 0.000 0.000 0.500
S1 S 0.500 0.500 0.500
# Fermi-level density of states (states/eV/f.u.): 1.10
# M_tot (μB per atom): 0.00

---

No. 8
# HgAu5 (GGA-PBEsol, optimized geometry)
data_HgAu5
_cell_length_a 5.4487
_cell_length_b 5.4487
_cell_length_c 4.5886
_cell_angle_alpha 90.00
_cell_angle_beta 90.00
_cell_angle_gamma 120.00
_space_group_name_H-M_alt 'P 6/m m m'
_space_group_IT_number 191
_space_group_name_Hall '-P 6 2'
loop_
_atom_site_label
_atom_site_type_symbol
_atom_site_fract_x
_atom_site_fract_y
_atom_site_fract_z
Hg1 Hg 0.0000 0.0000 0.0000
Au1 Au 0.0000 0.5000 0.5000
Au2 Au 0.3333 0.6667 0.0000
# Energy of formation from the pure elements (eV per atom): 0.091
# Offset from the most stable computed form (meV/atom): 66
# Fermi-level density of states (states/eV/f.u.): 1.23
# M_tot (μB per atom): 0.00

---

No. 9
# Cr2ReTc (GGA-PBEsol, optimized geometry)
data_Cr2ReTc
_cell_length_a 2.876
_cell_length_b 2.876
_cell_length_c 6.170
_cell_angle_alpha 90.00
_cell_angle_beta 90.00
_cell_angle_gamma 90.00
_space_group_name_H-M_alt 'P 4 m m'
_space_group_IT_number 99
loop_
_space_group_symop_operation_xyz
'x,y,z'
'-y,x,z'
'-x,-y,z'
'y,-x,z'
'-x,y,z'
'y,x,z'
'x,-y,z'
'-y,-x,z'
loop_
_atom_site_label
_atom_site_type_symbol
_atom_site_fract_x
_atom_site_fract_y
_atom_site_fract_z
Cr1 Cr 0.000 0.000 0.000
Cr2 Cr 0.500 0.500 0.196
Re1 Re 0.000 0.000 0.461
Tc1 Tc 0.500 0.500 0.739
# Energy of formation from the pure elements (eV per atom): 0.051
# Fermi-level density of states (states/eV/f.u.): 3.78
# M_tot (μB per atom): 0.00

---

No. 10
# LaGe3P (GGA-PBEsol, optimized geometry)
data_LaGe3P
_cell_length_a 4.794
_cell_length_b 4.794
_cell_length_c 4.794
_cell_angle_alpha 90.00
_cell_angle_beta 90.00
_cell_angle_gamma 90.00
_space_group_name_H-M_alt 'P m -3 m'
_space_group_IT_number 221
_space_group_name_Hall '-P 4 2 3'
loop_
_atom_site_label
_atom_site_type_symbol
_atom_site_fract_x
_atom_site_fract_y
_atom_site_fract_z
La1 La 0.000 0.000 0.000
Ge1 Ge 0.000 0.500 0.500
P1 P 0.500 0.500 0.500
# Energy of formation from the pure elements (eV per atom): 0.019
# Fermi-level density of states (states/eV/f.u.): 4.52
# M_tot (μB per atom): 0.00

---

No. 11
# AlSiRu2 (GGA-PBEsol, optimized geometry)
data_AlSiRu2
_cell_length_a 5.857
_cell_length_b 5.857
_cell_length_c 5.857
_cell_angle_alpha 90.00
_cell_angle_beta 90.00
_cell_angle_gamma 90.00
_space_group_name_H-M_alt 'F m -3 m'
_space_group_IT_number 225
_space_group_name_Hall '-F 4 2 3'
loop_
_atom_site_label
_atom_site_type_symbol
_atom_site_fract_x
_atom_site_fract_y
_atom_site_fract_z
Al1 Al 0.000 0.000 0.000
Si1 Si 0.000 0.000 0.500
Ru1 Ru 0.250 0.250 0.250
# Offset from the most stable computed form (meV/atom): 9
# Formation energy (no corrections) (eV/atom): -0.73
# Fermi-level density of states (states/eV/f.u.): 2.02
# M_tot (μB per atom): 0.00

---

No. 12
# La2TeW (GGA-PBEsol, optimized geometry)
data_La2TeW
_cell_length_a 3.868
_cell_length_b 3.868
_cell_length_c 7.089
_cell_angle_alpha 90.00
_cell_angle_beta 90.00
_cell_angle_gamma 90.00
_space_group_name_H-M_alt 'P 4/m m m'
_space_group_IT_number 123
_space_group_name_Hall '-P 4 2'
loop_
_atom_site_label
_atom_site_type_symbol
_atom_site_fract_x
_atom_site_fract_y
_atom_site_fract_z
La1 La 0.000 0.000 0.234
Te1 Te 0.500 0.500 0.500
W1 W 0.500 0.500 0.000
# Formation energy (no corrections) (eV/atom): -0.02
# Fermi-level density of states (states/eV/f.u.): 6.14
# M_tot (μB per atom): 0.26

---

No. 13
# MgAsCl2 (GGA-PBEsol, optimized geometry)
data_MgAsCl2
_cell_length_a 3.229
_cell_length_b 4.249
_cell_length_c 5.667
_cell_angle_alpha 90.00
_cell_angle_beta 90.00
_cell_angle_gamma 90.00
_space_group_name_H-M_alt 'P m m m'
_space_group_IT_number 47
loop_
_space_group_symop_operation_xyz
'x,y,z'
'-x,-y,-z'
'-x,-y,z'
'x,y,-z'
'x,-y,-z'
'-x,y,z'
'-x,y,-z'
'x,-y,z'
loop_
_atom_site_label
_atom_site_type_symbol
_atom_site_fract_x
_atom_site_fract_y
_atom_site_fract_z
Mg1 Mg 0.000 0.000 0.000
As1 As 0.500 0.000 0.500
Cl1 Cl 0.000 0.500 0.500
Cl2 Cl 0.500 0.500 0.000
# Offset from the most stable computed form (meV/atom): 161
# Formation energy (no corrections) (eV/atom): -0.52
# Fermi-level density of states (states/eV/f.u.): 0.87
# M_tot (μB per atom): 0.00

---

Number 1: E -28.25 eV/f.u.. Number 2: E -10.21 eV/f.u.. Number 3: E -15.53 eV/f.u.. Number 4: E -137.58 eV/f.u.. Number 5: E -20.82 eV/f.u.. Number 6: E -16.55 eV/f.u.. Number 7: E -20.88 eV/f.u.. Number 8: E -19.64 eV/f.u.. Number 9: E -44.88 eV/f.u.. Number 10: E -25.86 eV/f.u.. Number 11: E -33.10 eV/f.u.. Number 12: E -28.12 eV/f.u.. Number 13: E -12.91 eV/f.u..